Entry 1:
K4TiBi3S8 | PBE | relaxed Values from VASP.

Output
ΔE_f (raw)   -0.902 eV/atom
Mass density   4.28 g/cm³

The structure in Quantum ESPRESSO input format:
```
&SYSTEM
  ibrav = 0, nat = 16, ntyp = 4
/
ATOMIC_SPECIES
K 39.10 K.upf
Ti 47.87 Ti.upf
Bi 208.98 Bi.upf
S 32.06 S.upf
ATOMIC_POSITIONS angstrom
K 0.0000 0.0000 0.0000
K -2.0380 -1.1767 7.3384
K -2.0380 1.1767 14.6769
K 0.0000 2.3533 7.3384
Ti 0.0000 0.0000 11.0076
Bi -4.0761 0.0000 11.0076
Bi -2.0380 1.1767 3.6692
Bi 2.0380 1.1767 3.6692
S 0.0000 0.0000 5.2547
S -1.8701 -1.0797 12.4466
S 0.0000 -2.1594 9.5687
S -1.8701 1.0797 9.5687
S 1.8701 -1.0797 12.4466
S 0.0000 2.1594 12.4466
S 1.8701 1.0797 9.5687
S 0.0000 0.0000 16.7606
CELL_PARAMETERS angstrom
4.0761 2.3533 7.3384
-4.0761 2.3533 7.3384
0.0000 -4.7067 7.3384
```

Entry 2:
KTlBiS3 | PBE | relaxed Values from VASP.

Output
ΔE_f (raw)   -0.466 eV/atom
Mass density   4.63 g/cm³

The structure in Quantum ESPRESSO input format:
```
&SYSTEM
  ibrav = 0, nat = 12, ntyp = 4
/
ATOMIC_SPECIES
K 39.10 K.upf
Tl 204.38 Tl.upf
Bi 208.98 Bi.upf
S 32.06 S.upf
ATOMIC_POSITIONS angstrom
K 1.1301 1.1472 1.9773
K 5.9074 3.4415 7.8450
Tl 0.1601 1.1472 5.7991
Tl 6.8774 3.4415 4.0232
Bi 1.6078 3.4415 8.5540
Bi 5.4298 1.1472 1.2682
S -0.1378 1.1472 8.4980
S 0.9176 3.4415 4.7572
S 3.4403 3.4415 1.2739
S 3.5972 1.1472 8.5483
S 6.1200 1.1472 5.0651
S 7.1753 3.4415 1.3243
CELL_PARAMETERS angstrom
8.7352 0.0000 0.0000
0.0000 4.5887 0.0000
-1.6977 0.0000 9.8223
```

Entry 3:
K3TlBi2S6 | PBE | relaxed Values from VASP.

Output
ΔE_f (raw)   -0.715 eV/atom
Mass density   4.71 g/cm³

The structure in Quantum ESPRESSO input format:
```
&SYSTEM
  ibrav = 0, nat = 12, ntyp = 4
/
ATOMIC_SPECIES
K 39.10 K.upf
Tl 204.38 Tl.upf
Bi 208.98 Bi.upf
S 32.06 S.upf
ATOMIC_POSITIONS angstrom
K 0.0000 0.0000 0.0000
K 3.5744 2.0818 0.0000
K 3.5744 -2.0818 0.0000
Tl 2.3820 0.0000 3.7119
Bi 2.3820 4.1300 3.7119
Bi 2.3820 -4.1300 3.7119
S 1.2159 2.0205 2.1671
S 0.0502 0.0000 5.2585
S 1.2159 -2.0205 2.1671
S 3.5481 2.0205 5.2568
S 4.7138 0.0000 2.1654
S 3.5481 -2.0205 5.2568
CELL_PARAMETERS angstrom
3.5744 -6.1917 0.0000
3.5744 6.1917 0.0000
-2.3848 0.0000 7.4239
```

Entry 4:
K3Tm2BiS6 | PBE | relaxed Values from VASP.

Output
ΔE_f (raw)   -1.528 eV/atom
Mass density   4.51 g/cm³

The structure in Quantum ESPRESSO input format:
```
&SYSTEM
  ibrav = 0, nat = 12, ntyp = 4
/
ATOMIC_SPECIES
K 39.10 K.upf
Tm 168.93 Tm.upf
Bi 208.98 Bi.upf
S 32.06 S.upf
ATOMIC_POSITIONS angstrom
K 0.0000 0.0000 0.0000
K 3.5153 1.9934 0.0000
K 3.5153 -1.9934 0.0000
Tm 2.3428 4.0547 3.6806
Tm 2.3428 -4.0547 3.6806
Bi 2.3428 0.0000 3.6806
S 1.1290 2.1018 2.1898
S -0.0850 0.0000 5.1671
S 1.1290 -2.1018 2.1898
S 3.5565 2.1018 5.1715
S 4.7706 0.0000 2.1941
S 3.5565 -2.1018 5.1715
CELL_PARAMETERS angstrom
3.5153 -6.0885 0.0000
3.5153 6.0885 0.0000
-2.3451 0.0000 7.3612
```

Entry 5:
K3TmBi2S6 | PBE | relaxed Values from VASP.

Output
ΔE_f (raw)   -1.166 eV/atom
Mass density   4.59 g/cm³

The structure in Quantum ESPRESSO input format:
```
&SYSTEM
  ibrav = 0, nat = 12, ntyp = 4
/
ATOMIC_SPECIES
K 39.10 K.upf
Tm 168.93 Tm.upf
Bi 208.98 Bi.upf
S 32.06 S.upf
ATOMIC_POSITIONS angstrom
K 0.0000 0.0000 0.0000
K 3.5630 2.1006 0.0000
K 3.5630 -2.1006 0.0000
Tm 2.3751 0.0000 3.6918
Bi 2.3751 4.1197 3.6918
Bi 2.3751 -4.1197 3.6918
S 1.2297 1.9844 2.1724
S 0.0839 0.0000 5.2169
S 1.2297 -1.9844 2.1724
S 3.5205 1.9844 5.2112
S 4.6663 0.0000 2.1668
S 3.5205 -1.9844 5.2112
CELL_PARAMETERS angstrom
3.5630 -6.1711 0.0000
3.5630 6.1711 0.0000
-2.3758 0.0000 7.3836
```

Entry 6:
K3UBi3S8 | PBE | relaxed Values from VASP.

Output
ΔE_f (raw)   -0.925 eV/atom
Mass density   4.65 g/cm³

The structure in Quantum ESPRESSO input format:
```
&SYSTEM
  ibrav = 0, nat = 15, ntyp = 4
/
ATOMIC_SPECIES
K 39.10 K.upf
U 238.03 U.upf
Bi 208.98 Bi.upf
S 32.06 S.upf
ATOMIC_POSITIONS angstrom
K -2.0562 -1.1871 7.5580
K -2.0561 1.1871 15.1160
K 0.0000 2.3742 7.5580
U 0.0000 0.0000 11.3370
Bi -4.1123 0.0000 11.3370
Bi -2.0561 1.1871 3.7790
Bi 2.0562 1.1871 3.7790
S 0.0000 0.0000 5.3662
S -1.9584 -1.1307 12.8402
S 0.0000 -2.2614 9.8338
S -1.9584 1.1307 9.8338
S 1.9584 -1.1307 12.8402
S 0.0000 2.2614 12.8402
S 1.9584 1.1307 9.8338
S 0.0000 0.0000 17.3077
CELL_PARAMETERS angstrom
4.1123 2.3742 7.5580
-4.1123 2.3742 7.5580
0.0000 -4.7485 7.5580
```

Entry 7:
K2UBi2S6 | PBE | relaxed Values from VASP.

Output
ΔE_f (raw)   -0.972 eV/atom
Mass density   4.67 g/cm³

The structure in Quantum ESPRESSO input format:
```
&SYSTEM
  ibrav = 0, nat = 11, ntyp = 4
/
ATOMIC_SPECIES
K 39.10 K.upf
U 238.03 U.upf
Bi 208.98 Bi.upf
S 32.06 S.upf
ATOMIC_POSITIONS angstrom
K 3.5627 4.0245 0.0000
K 3.5627 -4.0245 0.0000
U -1.2264 0.0000 3.7745
Bi 2.3362 2.0550 3.7745
Bi 2.3362 -2.0550 3.7745
S -0.0922 1.9761 5.2893
S 1.0039 0.0000 2.2663
S -0.0922 -1.9761 5.2893
S 4.7646 1.9761 2.2598
S 3.6686 0.0000 5.2828
S 4.7646 -1.9761 2.2598
CELL_PARAMETERS angstrom
3.5627 -6.1189 0.0000
3.5627 6.1189 0.0000
-2.4529 0.0000 7.5491
```

Entry 8:
K2UBiS6 | PBE | relaxed Values from VASP.

Output
ΔE_f (raw)   -0.883 eV/atom
Mass density   4.21 g/cm³

The structure in Quantum ESPRESSO input format:
```
&SYSTEM
  ibrav = 0, nat = 20, ntyp = 4
/
ATOMIC_SPECIES
K 39.10 K.upf
U 238.03 U.upf
Bi 208.98 Bi.upf
S 32.06 S.upf
ATOMIC_POSITIONS angstrom
K -0.0742 0.3166 2.6166
K -3.7293 3.3835 7.8406
K 3.7365 4.0167 2.6074
K 0.0815 7.0836 7.8314
U -3.6551 0.0000 5.2240
U 0.0000 3.7001 0.0000
Bi 3.6587 0.0000 0.0000
Bi 0.0036 3.7001 5.2240
S -5.8680 1.6372 10.0906
S -2.2129 2.0629 4.8666
S -5.2653 5.1703 10.1031
S -1.6102 5.9300 4.8791
S -3.1705 0.0672 7.7160
S 0.4845 3.6329 2.4920
S -0.4773 3.7673 7.9560
S 3.1778 7.3330 2.7320
S 1.6175 1.4702 5.5689
S 5.2726 2.2299 0.3449
S 2.2202 5.3373 5.5814
S 5.8753 5.7630 0.3574
CELL_PARAMETERS angstrom
7.3174 0.0000 0.0000
0.0000 7.4002 0.0000
-7.3102 0.0000 10.4480
```

Entry 9:
K3Y2BiS6 | PBE | relaxed Values from VASP.

Output
ΔE_f (raw)   -1.532 eV/atom
Mass density   3.60 g/cm³

The structure in Quantum ESPRESSO input format:
```
&SYSTEM
  ibrav = 0, nat = 12, ntyp = 4
/
ATOMIC_SPECIES
K 39.10 K.upf
Y 88.91 Y.upf
Bi 208.98 Bi.upf
S 32.06 S.upf
ATOMIC_POSITIONS angstrom
K 0.0000 0.0000 0.0000
K 3.5479 2.0201 0.0000
K 3.5479 -2.0201 0.0000
Y 2.3653 4.0936 3.6860
Y 2.3653 -4.0936 3.6860
Bi 2.3653 0.0000 3.6860
S 1.1532 2.0985 2.1778
S -0.0583 0.0000 5.1911
S 1.1532 -2.0985 2.1778
S 3.5774 2.0985 5.1942
S 4.7890 0.0000 2.1810
S 3.5774 -2.0985 5.1942
CELL_PARAMETERS angstrom
3.5479 -6.1450 0.0000
3.5479 6.1450 0.0000
-2.3652 0.0000 7.3721
```

Entry 10:
K2YBiS4 | PBE | relaxed Values from VASP.

Output
ΔE_f (raw)   -1.349 eV/atom
Mass density   3.87 g/cm³

The structure in Quantum ESPRESSO input format:
```
&SYSTEM
  ibrav = 0, nat = 8, ntyp = 4
/
ATOMIC_SPECIES
K 39.10 K.upf
Y 88.91 Y.upf
Bi 208.98 Bi.upf
S 32.06 S.upf
ATOMIC_POSITIONS angstrom
K 0.0000 0.0000 0.0000
K 3.5725 2.0520 0.0000
Y -1.1771 2.0520 3.6918
Bi 2.3954 0.0000 3.6918
S -0.0305 0.0000 5.1943
S 1.1427 2.0520 2.1563
S 3.6481 2.0520 5.2273
S 4.8213 0.0000 2.1894
CELL_PARAMETERS angstrom
7.1449 0.0000 0.0000
0.0000 4.1039 0.0000
-2.3542 0.0000 7.3837
```

Entry 11:
KZnBiS3 | PBE | relaxed Values from VASP.

Output
ΔE_f (raw)   -0.773 eV/atom
Mass density   4.02 g/cm³

The structure in Quantum ESPRESSO input format:
```
&SYSTEM
  ibrav = 0, nat = 12, ntyp = 4
/
ATOMIC_SPECIES
K 39.10 K.upf
Zn 65.41 Zn.upf
Bi 208.98 Bi.upf
S 32.06 S.upf
ATOMIC_POSITIONS angstrom
K 1.1537 1.0100 2.0048
K 5.8651 3.0301 7.1292
Zn -0.4830 1.0100 5.4924
Zn 7.5017 3.0301 3.6416
Bi 1.3325 3.0301 7.8214
Bi 5.6863 1.0100 1.3126
S -0.6233 1.0100 7.8306
S 0.5361 3.0301 4.6489
S 3.6127 3.0301 1.3091
S 3.4061 1.0100 7.8249
S 6.4827 1.0100 4.4851
S 7.6421 3.0301 1.3034
CELL_PARAMETERS angstrom
9.1754 0.0000 0.0000
0.0000 4.0402 0.0000
-2.1566 0.0000 9.1340
```

Entry 12:
K4ZrBi3S8 | PBE | relaxed Values from VASP.

Output
ΔE_f (raw)   -0.946 eV/atom
Mass density   4.32 g/cm³

The structure in Quantum ESPRESSO input format:
```
&SYSTEM
  ibrav = 0, nat = 16, ntyp = 4
/
ATOMIC_SPECIES
K 39.10 K.upf
Zr 91.22 Zr.upf
Bi 208.98 Bi.upf
S 32.06 S.upf
ATOMIC_POSITIONS angstrom
K 0.0000 0.0000 0.0000
K -2.0799 -1.2008 7.2530
K -2.0799 1.2008 14.5060
K 0.0000 2.4017 7.2530
Zr 0.0000 0.0000 10.8795
Bi -4.1598 0.0000 10.8795
Bi -2.0799 1.2008 3.6265
Bi 2.0799 1.2008 3.6265
S 0.0000 0.0000 5.1513
S -1.9337 -1.1164 12.3199
S 0.0000 -2.2329 9.4391
S -1.9337 1.1164 9.4391
S 1.9337 -1.1164 12.3199
S 0.0000 2.2329 12.3199
S 1.9337 1.1164 9.4391
S 0.0000 0.0000 16.6077
CELL_PARAMETERS angstrom
4.1598 2.4017 7.2530
-4.1598 2.4017 7.2530
0.0000 -4.8033 7.2530
```